DFT (GGA+U) results for an optimized crystal structure of Ni3OsO.

Computed properties:
Density in g cm⁻³: 6.3
Distance to the lowest polymorph of the same formula in meV per atom: 1600
Energy in eV per atom: -2.48

a = 4.6633 Å, b = 4.6633 Å, c = 4.6633 Å
α = 90.00°, β = 90.00°, γ = 90.00°
Closest atoms and distances in Å follow each position.
Positions (direct):
Ni 0.0000 0.0000 0.5000  2 Os 2.33
Ni 0.0000 0.5000 0.0000  2 Os 2.33
Ni 0.5000 0.0000 0.0000  2 Os 2.33
Os 0.0000 0.0000 0.0000  6 Ni 2.33
O 0.5000 0.5000 0.5000  12 Ni 3.30